1.
The following is a DFT calculation (PBE) of Ho8AlAg2 after structural relaxation.

## Properties
E_form in eV/atom: -0.04
Total magnetization in μB per atom: 0.000

a b c (Å): 8.585 14.318 5.341
angles (deg): 90.00 110.04 90.00
Space group C2/m (No. 12)
Symmetry-distinct sites (fractional):
Ho  0.000  0.221  0.000 x4
Ho  0.110  0.500  0.806 x4
Ho  0.209  0.115  0.604 x8
Al  0.000  0.000  0.000 x2
Ag  0.000  0.304  0.500 x4



2.
The following is a DFT calculation (PBE) of ScCdCo after structural relaxation.

## Properties
E_form in eV/atom: 0.53
Excess energy over the best structure of this formula in the dataset in meV per atom: 797
Total magnetization in μB per atom: 0.001

a b c (Å): 6.302 6.302 6.302
angles (deg): 90.00 90.00 90.00
Space group F-43m (No. 216)
Symmetry-distinct sites (fractional):
Sc  0.000  0.000  0.000 x4
Cd  0.250  0.250  0.750 x4
Co  0.250  0.250  0.250 x4